No. 1
Compound: LaTaBr
Source: Alexandria via LeMat-Bulk
Functional: GGA-PBE
Structure: optimized geometry

Output
- M_tot (Bohr magnetons per cell) = 19.606
- ρ (g/cm3) = 6.24
- distance to the lowest polymorph of the same formula (eV per atom) = 0.936
- DOS at the Fermi energy (states/eV/atom) = 0.8177
- DFT total energy (Ry/atom) = -0.377
- formation energy (no corrections) (kJ/mol of formula units) = 297

a = 7.5198 Å, b = 7.5198 Å, c = 7.5198 Å
α = 90.00°, β = 90.00°, γ = 90.00°
Space group F-43m (No. 216)
Inequivalent atoms, fractional coordinates:
La: 0.0000 0.0000 0.0000
Ta: 0.2500 0.2500 0.2500
Br: 0.2500 0.2500 0.7500

=====

No. 2
Compound: Ac5CePb5
Source: Alexandria via LeMat-Bulk
Functional: GGA-PBE
Structure: optimized geometry

Output
- M_tot (Bohr magnetons per cell) = 2.552
- ρ (g/cm3) = 8.27
- DOS at the Fermi energy (states/eV/atom) = 1.3478
- DFT total energy (Ry/atom) = -0.324

a = 15.3951 Å, b = 6.7705 Å, c = 9.3809 Å
α = 90.00°, β = 108.32°, γ = 90.00°
Space group C2/m (No. 12)
Inequivalent atoms, fractional coordinates:
Ac: 0.0000 0.0000 0.0000
Ac: 0.1658 0.5000 0.3309
Ac: 0.1747 0.5000 0.8304
Ce: 0.0000 0.0000 0.5000
Pb: 0.0000 0.5000 0.5000
Pb: 0.1571 0.0000 0.3411
Pb: 0.1590 0.0000 0.8234

=====

Question: Among the records above, which one has the highest DFT total energy?
Answer: Ac5CePb5